No. 1
Below is a relaxed B2Ir2W3 crystal, with properties calculated at the PBE level.

Structure (POSCAR):
```
B2Ir2W3
1.0
0.000 -2.103 2.103
2.103 0.000 2.103
-6.250 6.250 8.353
W Ir B
3 2 2
direct
0.392 0.392 0.824 W
0.659 0.659 0.022 W
0.130 0.130 0.610 W
0.524 0.524 0.428 Ir
0.932 0.932 0.205 Ir
0.227 0.227 0.318 B
0.761 0.761 0.718 B
```

calculated volume = 92.2 Å³/cell
crystal system = trigonal
VASP energy = -9.9569 eV/atom
symmetry = R3m

=====

No. 2
Below is a relaxed BIr2W crystal, with properties calculated at the PBE level.

Structure (POSCAR):
```
BIr2W
1.0
3.125 -1.873 2.183
3.000 2.360 1.863
0.123 0.323 4.233
Ir W B
2 1 1
direct
0.750 0.750 0.750 Ir
0.000 0.000 0.000 Ir
0.250 0.250 0.250 W
0.500 0.500 0.500 B
```

calculated volume = 54.2 Å³/cell
crystal system = cubic
VASP energy = -8.7451 eV/atom
symmetry = F-43m

=====

No. 3
Below is a relaxed YBIr crystal, with properties calculated at the PBE level.

Structure (POSCAR):
```
YBIr
1.0
1.685 -1.940 3.581
-1.516 1.060 4.001
-2.416 -2.897 2.280
B Ir Y
1 1 1
direct
0.250 0.250 0.250 B
0.750 0.750 0.750 Ir
0.000 0.000 0.000 Y
```

calculated volume = 60.5 Å³/cell
crystal system = cubic
VASP energy = -6.3446 eV/atom
symmetry = F-43m
E above lowest polymorph = 1057.0 meV per atom